1.
The following is a DFT calculation (GGA-PBE) of a relaxed structure of Ac6LaNi3.

Cell lengths 7.6946, 9.3075, 9.3075 Å; angles 99.97, 90.00, 90.00 degrees
Closest atoms and distances in Å follow each position.
Element x y z (fractional)
Ac 0.8155 0.9720 0.5841  1 Ni 3.01
Ac 0.1770 0.7069 0.6243  4 Ni 2.93-3.17
Ac 0.8155 0.4159 0.0280  1 Ni 3.01
Ac 0.3155 0.0280 0.4159  1 Ni 3.01
Ac 0.1505 0.0334 0.9666  4 Ni 3.27-3.51
Ac 0.6770 0.2931 0.3757  4 Ni 2.93-3.17
Ac 0.1770 0.3757 0.2931  4 Ni 2.93-3.17
Ac 0.4911 0.2248 0.7752  3 Ni 2.91-2.97
Ac 0.3155 0.5841 0.9720  1 Ni 3.01
Ac 0.9911 0.7752 0.2248  3 Ni 2.91-2.97
Ac 0.6770 0.6243 0.7069  4 Ni 2.93-3.17
Ac 0.6505 0.9666 0.0334  4 Ni 3.27-3.51
La 0.5492 0.6698 0.3302  1 Ni 2.72
La 0.0492 0.3302 0.6698  1 Ni 2.72
Ni 0.4724 0.2899 0.0988  5 Ac 2.93-3.27
Ni 0.4724 0.9012 0.7101  5 Ac 2.93-3.27
Ni 0.9724 0.7101 0.9012  5 Ac 2.93-3.27
Ni 0.9724 0.0988 0.2899  5 Ac 2.93-3.27
Ni 0.3646 0.4171 0.5829  1 La 2.72, 3 Ac 2.91-3.02
Ni 0.8646 0.5829 0.4171  1 La 2.72, 3 Ac 2.91-3.02

Values from the calculation:
DFT formation energy: -0.108 eV/atom
Total energy: -48.00 eV/f.u.
N(E_F): 23.12 states/eV/cell
Symmetry: Cmc2_1, No. 36
M_tot: 0.0 Bohr magnetons per cell

---

2.
The following is a DFT calculation (GGA-PBE) of a relaxed structure of K5Rb.

Cell lengths 4.7487, 4.7487, 23.0394 Å; angles 90.00, 90.00, 120.00 degrees
Closest atoms and distances in Å follow each position.
Element x y z (fractional)
K 0.6667 0.3333 0.5000  12 K 4.67-4.75
K 0.6667 0.3333 0.8274  9 K 4.65-4.75, 3 Rb 4.83
K 0.0000 0.0000 0.3358  12 K 4.65-4.75
K 0.6667 0.3333 0.1726  9 K 4.65-4.75, 3 Rb 4.83
K 0.0000 0.0000 0.6642  12 K 4.65-4.75
Rb 0.0000 0.0000 0.0000  6 Rb 4.75, 6 K 4.83

Values from the calculation:
DFT formation energy: 0.003 eV/atom
Total energy: -6.44 eV/f.u.
N(E_F): 4.80 states/eV/cell
Symmetry: P-6m2, No. 187
Distance to the lowest polymorph of the same formula: 3 meV per atom
M_tot: 0.0 Bohr magnetons per cell

---

3.
The following is a DFT calculation (GGA-PBE) of a relaxed structure of MgH3Rh.

Cell lengths 3.7117, 3.7117, 3.7117 Å; angles 87.14, 87.14, 87.14 degrees
Closest atoms and distances in Å follow each position.
Element x y z (fractional)
H 0.6531 0.0651 0.6531  1 Rh 1.63
H 0.0651 0.6531 0.6531  1 Rh 1.63
H 0.6531 0.6531 0.0651  1 Rh 1.63
Mg 0.5529 0.5529 0.5529  6 H 1.85-2.01
Rh 0.9508 0.9508 0.9508  3 H 1.63

Values from the calculation:
Total energy: -18.60 eV/f.u.
N(E_F): 0.71 states/eV/cell
Symmetry: R3m, No. 160
M_tot: 0.0 Bohr magnetons per cell

---

4.
The following is a DFT calculation (GGA-PBE) of a relaxed structure of CoIr4Rh.

Cell lengths 2.7225, 7.1454, 8.7998 Å; angles 90.00, 90.00, 100.98 degrees
Closest atoms and distances in Å follow each position.
Element x y z (fractional)
Ir 0.4442 0.8885 0.5172  9 Ir 2.68-2.73, 2 Rh 2.69, 1 Co 2.71
Ir 0.1131 0.2263 0.5211  8 Ir 2.66-2.77, 2 Co 2.67, 2 Rh 2.69
Ir 0.5558 0.1115 0.0172  9 Ir 2.68-2.73, 2 Rh 2.69, 1 Co 2.71
Ir 0.0041 0.0082 0.7679  10 Ir 2.66-2.77, 2 Co 2.68
Ir 0.9959 0.9918 0.2679  10 Ir 2.66-2.77, 2 Co 2.68
Ir 0.3326 0.6652 0.7703  3 Rh 2.68-2.72, 2 Co 2.68, 7 Ir 2.70-2.76
Ir 0.8869 0.7737 0.0211  8 Ir 2.66-2.77, 2 Co 2.67, 2 Rh 2.69
Ir 0.6674 0.3348 0.2703  3 Rh 2.68-2.72, 2 Co 2.68, 7 Ir 2.70-2.76
Co 0.3317 0.6634 0.2673  7 Ir 2.67-2.71, 3 Rh 2.69, 2 Co 2.72
Co 0.6683 0.3366 0.7673  7 Ir 2.67-2.71, 3 Rh 2.69, 2 Co 2.72
Rh 0.2212 0.4423 0.0171  7 Ir 2.68-2.72, 3 Co 2.69, 2 Rh 2.72
Rh 0.7788 0.5577 0.5171  7 Ir 2.68-2.72, 3 Co 2.69, 2 Rh 2.72

Values from the calculation:
DFT formation energy: 0.039 eV/atom
Total energy: -49.67 eV/f.u.
N(E_F): 14.71 states/eV/cell
Symmetry: Cmc2_1, No. 36
Distance to the lowest polymorph of the same formula: 26 meV per atom
M_tot: 4.0 Bohr magnetons per cell

---

5.
The following is a DFT calculation (GGA-PBE) of a relaxed structure of KMgZr2Ni.

Cell lengths 4.9923, 4.5455, 4.9923 Å; angles 90.00, 90.00, 90.00 degrees
Closest atoms and distances in Å follow each position.
Element x y z (fractional)
Mg 0.5000 0.5000 0.5000  8 Zr 3.38, 4 Ni 3.53
K 0.0000 0.0000 0.0000  2 Ni 2.27, 4 Zr 2.50
Zr 0.5000 0.0000 0.0000  2 K 2.50
Zr 0.0000 0.0000 0.5000  2 K 2.50
Ni 0.0000 0.5000 0.0000  2 K 2.27

Values from the calculation:
DFT formation energy: 1.731 eV/atom
Total energy: -16.91 eV/f.u.
N(E_F): 6.19 states/eV/cell
Symmetry: P4/mmm, No. 123
M_tot: 0.0 Bohr magnetons per cell

---

6.
The following is a DFT calculation (GGA-PBE) of a relaxed structure of AlSiPN4.

Cell lengths 7.1264, 2.9248, 9.6963 Å; angles 90.00, 129.44, 90.00 degrees
Closest atoms and distances in Å follow each position.
Element x y z (fractional)
N 0.6239 0.0000 0.4628  2 Si 1.72, 1 Al 1.88
N 0.4344 0.0000 0.0957  1 P 1.64, 1 Si 1.73
N 0.2272 0.0000 0.7033  2 P 1.76, 1 Si 1.81
N 0.6239 0.5000 0.9628  2 Si 1.72, 1 Al 1.88
N 0.2272 0.5000 0.2033  2 P 1.76, 1 Si 1.81
N 0.9374 0.5000 0.3987  1 P 1.59
N 0.9374 0.0000 0.8987  1 P 1.59
N 0.4344 0.5000 0.5957  1 P 1.64, 1 Si 1.73
P 0.2000 0.0000 0.0908  4 N 1.59-1.76
P 0.2000 0.5000 0.5908  4 N 1.59-1.76
Al 0.7422 0.5000 0.8366  4 N 1.84-1.94
Al 0.7422 0.0000 0.3366  4 N 1.84-1.94
Si 0.4809 0.5000 0.4408  4 N 1.72-1.81
Si 0.4809 0.0000 0.9408  4 N 1.72-1.81

Values from the calculation:
Total energy: -53.34 eV/f.u.
N(E_F): 0.00 states/eV/cell
Symmetry: Cm, No. 8
E_form (uncorrected): -75 kJ/mol of atoms
Distance to the lowest polymorph of the same formula: 0 meV per atom
M_tot: 0.0 Bohr magnetons per cell

---

- The lowest total energy belongs to which entry?
  AlSiPN4

---

- Which formula does entry 3 have?
  MgH3Rh